(1)
11
Lattice="-0.723 3.675 -0.437 -7.085 -2.022 -5.271 -1.075 -0.369 14.935" Properties=species:S:1:pos:R:3 comment="Ac5Tb4Pr2 PBE relaxed" sg=C2/m total_energy_ev_per_atom=-4.2965 e_form_ev_per_atom=0.1237 pbc="T T T"
Ac -1.945 -0.052 2.784
Ac -2.064 2.545 8.547
Ac -6.820 -1.262 0.679
Ac -6.939 1.335 6.442
Ac -0.362 1.837 -0.219
Tb -3.465 0.041 6.078
Tb -5.259 -1.360 -2.731
Tb -5.419 1.242 3.148
Tb -3.624 2.644 11.958
Pr -4.862 0.171 9.478
Pr -4.021 1.113 -0.252



(2)
12
Lattice="-7.137 -5.420 0.097 4.433 -4.446 -6.396 6.845 1.964 5.442" Properties=species:S:1:pos:R:3 comment="Ac3Tb8Pr PBE relaxed" sg=Immm total_energy_ev_per_atom=-4.2691 e_form_ev_per_atom=0.2431 pbc="T T T"
Tb 1.815 -5.530 0.500
Tb 2.326 -2.372 -1.358
Tb -0.731 -3.271 -0.136
Tb 7.990 -3.618 -1.837
Tb -0.876 -4.985 2.611
Tb -3.849 -4.283 0.980
Tb 5.017 -2.917 -3.468
Tb 4.872 -4.631 -0.721
Ac 1.511 -5.563 -3.392
Ac 5.639 -1.241 -0.477
Ac 2.630 -2.339 2.534
Pr -2.704 -9.866 -6.299



- Number 1 is which compound?
  Ac5Tb4Pr2